{
  "formula": "Pa2TcRh",
  "functional": "GGA-PBE",
  "state": "relaxed",
  "lattice_angstrom": [[5.843, 0.000, 0.000], [0.000, 7.280, 0.000], [0.000, 0.000, 4.173]],
  "species": ["Pa", "Pa", "Pa", "Pa", "Tc", "Tc", "Rh", "Rh"],
  "frac_coords": [[0.240, 0.166, 0.000], [0.260, 0.666, 0.500], [0.740, 0.334, 0.500], [0.760, 0.834, 0.000], [0.000, 0.000, 0.500], [0.500, 0.500, 0.000], [0.000, 0.500, 0.000], [0.500, 0.000, 0.500]],
  "magnetic_moment_mub_per_fu": 0.00,
  "e_form_ev_per_atom": -0.461,
  "polymorph_energy_mev_per_atom": 0.0
}


{
  "formula": "Pa6TcRh5",
  "functional": "GGA-PBE",
  "state": "relaxed",
  "lattice_angstrom": [[8.258, -3.393, 0.000], [8.258, 3.393, 0.000], [-1.249, 0.000, 4.388]],
  "species": ["Pa", "Pa", "Pa", "Pa", "Pa", "Pa", "Tc", "Rh", "Rh", "Rh", "Rh", "Rh"],
  "frac_coords": [[0.090, 0.599, 0.344], [0.247, 0.753, 0.000], [0.401, 0.910, 0.656], [0.599, 0.090, 0.344], [0.753, 0.247, 0.000], [0.910, 0.401, 0.656], [0.000, 0.000, 0.500], [0.193, 0.193, 0.193], [0.317, 0.317, 0.816], [0.500, 0.500, 0.500], [0.683, 0.683, 0.184], [0.807, 0.807, 0.807]],
  "magnetic_moment_mub_per_fu": 0.00,
  "e_form_ev_per_atom": -0.530
}


{
  "formula": "Pa12Tc6Rh",
  "functional": "GGA-PBE",
  "state": "relaxed",
  "lattice_angstrom": [[5.852, 3.379, 3.909], [-5.852, 3.379, 3.909], [0.000, -6.757, 3.909]],
  "species": ["Pa", "Pa", "Pa", "Pa", "Pa", "Pa", "Pa", "Pa", "Pa", "Pa", "Pa", "Pa", "Tc", "Tc", "Tc", "Tc", "Tc", "Tc", "Rh"],
  "frac_coords": [[0.017, 0.653, 0.929], [0.071, 0.983, 0.347], [0.188, 0.402, 0.551], [0.347, 0.071, 0.983], [0.402, 0.551, 0.188], [0.449, 0.812, 0.598], [0.551, 0.188, 0.402], [0.598, 0.449, 0.812], [0.653, 0.929, 0.017], [0.812, 0.598, 0.449], [0.929, 0.017, 0.653], [0.983, 0.347, 0.071], [0.132, 0.644, 0.337], [0.337, 0.132, 0.644], [0.356, 0.663, 0.868], [0.644, 0.337, 0.132], [0.663, 0.868, 0.356], [0.868, 0.356, 0.663], [0.000, 0.000, 0.000]],
  "magnetic_moment_mub_per_fu": 0.00,
  "e_form_ev_per_atom": 0.041
}


| no. | energy (eV for the cell shown) | density of states at the Fermi level (states/eV per atom) |
| --- | --- | --- |
| 1 | -77.11 | 1.393 |
| 2 | -110.46 | 1.417 |
| 3 | -182.72 | 1.597 |